(1)
Below is a relaxed KAlCr2 crystal, with properties calculated at the GGA-PBEsol level.

Cell and atoms, written as POSCAR:
```
KAlCr2
1.0
-4.540 -1.404 1.084
3.102 -3.068 -1.940
1.772 -3.724 2.598
Al K Cr
1 1 2
Direct
0.750 0.500 0.750
0.500 0.000 0.500
0.000 0.000 0.000
0.250 0.500 0.250
```

Output
Space group ... I-4m2 (119)



(2)
Below is a relaxed KAlCr2 crystal, with properties calculated at the GGA-PBEsol level.

Cell and atoms, written as POSCAR:
```
KAlCr2
1.0
3.045 0.000 0.000
0.000 4.894 0.000
0.000 0.000 5.432
K Cr Al
1 2 1
Direct
0.500 0.500 0.000
0.000 0.000 0.000
0.500 0.000 0.500
0.000 0.500 0.500
```

Output
Space group ... Pmmm (47)



(3)
Below is a relaxed KAlCr2 crystal, with properties calculated at the GGA-PBEsol level.

Cell and atoms, written as POSCAR:
```
KAlCr2
1.0
2.790 0.000 0.000
-1.395 3.928 0.037
0.000 -0.611 7.551
Al K Cr
1 1 2
Direct
0.731 0.462 0.154
0.500 0.001 0.511
0.998 0.995 0.970
0.271 0.542 0.866
```

Output
Space group ... Cm (8)



(4)
Below is a relaxed KAlCr4 crystal, with properties calculated at the GGA-PBEsol level.

Cell and atoms, written as POSCAR:
```
KAlCr4
1.0
-2.490 -1.762 3.936
2.484 -1.991 3.830
0.204 2.405 4.356
Cr Al K
4 1 1
Direct
0.377 0.377 0.868
0.868 0.377 0.377
0.377 0.868 0.377
0.377 0.377 0.377
0.000 0.000 0.000
0.750 0.750 0.750
```

Output
Space group ... F-43m (216)



(5)
Below is a relaxed K2AlCr crystal, with properties calculated at the GGA-PBEsol level.

Cell and atoms, written as POSCAR:
```
K2AlCr
1.0
4.465 0.000 0.000
0.000 4.465 0.000
0.000 0.000 5.774
Al K Cr
1 2 1
Direct
0.500 0.500 0.500
0.000 0.500 0.000
0.500 0.000 0.000
0.000 0.000 0.500
```

Output
Space group ... P4/mmm (123)



(6)
Below is a relaxed LaAlCr4 crystal, with properties calculated at the GGA-PBEsol level.

Cell and atoms, written as POSCAR:
```
LaAlCr4
1.0
-3.194 2.580 -2.869
-1.729 -2.006 -4.252
-4.789 -1.431 -0.328
Cr La Al
4 1 1
Direct
0.874 0.375 0.375
0.375 0.375 0.874
0.375 0.874 0.375
0.375 0.375 0.375
0.750 0.750 0.750
0.000 0.000 0.000
```

Output
Space group ... F-43m (216)



(7)
Below is a relaxed LaAlCr3 crystal, with properties calculated at the GGA-PBEsol level.

Cell and atoms, written as POSCAR:
```
LaAlCr3
1.0
-1.526 4.154 0.695
-4.198 -1.441 -0.606
-0.338 -0.858 4.384
Cr La Al
3 1 1
Direct
0.000 0.500 0.000
0.500 0.000 0.000
0.000 0.000 0.500
0.000 0.000 0.000
0.500 0.500 0.500
```

Output
Space group ... Pm-3m (221)



(8)
Below is a relaxed LaAl4Cr crystal, with properties calculated at the GGA-PBEsol level.

Cell and atoms, written as POSCAR:
```
LaAl4Cr
1.0
-0.685 3.597 -4.061
-0.966 -1.767 -5.084
-4.941 0.686 -2.240
Cr Al La
1 4 1
Direct
0.750 0.750 0.750
0.876 0.375 0.375
0.375 0.876 0.375
0.375 0.375 0.876
0.375 0.375 0.375
0.000 0.000 0.000
```

Output
Space group ... F-43m (216)



(9)
Below is a relaxed La3AlCrS7 crystal, with properties calculated at the GGA-PBEsol level.

Cell and atoms, written as POSCAR:
```
La3AlCrS7
1.0
-5.045 3.010 -0.549
-4.869 -8.573 -2.253
0.749 3.010 9.626
S Al Cr La
14 2 2 6
Direct
0.978 0.484 0.583
0.459 0.333 0.667
0.959 0.667 0.333
0.226 0.916 0.143
0.478 0.516 0.417
0.226 0.857 0.773
0.478 0.901 0.484
0.726 0.143 0.227
0.978 0.099 0.516
0.226 0.227 0.084
0.978 0.417 0.901
0.726 0.084 0.857
0.478 0.583 0.099
0.726 0.773 0.916
0.833 0.333 0.667
0.333 0.667 0.333
0.476 0.000 0.000
0.976 0.000 0.000
0.252 0.235 0.373
0.752 0.373 0.138
0.252 0.138 0.765
0.252 0.627 0.862
0.752 0.862 0.235
0.752 0.765 0.627
```

Output
Uncorrected formation energy ... -2005 kJ/mol of formula units
Space group ... P6_3 (173)



(10)
Below is a relaxed La2TaAlCr crystal, with properties calculated at the GGA-PBEsol level.

Cell and atoms, written as POSCAR:
```
La2TaAlCr
1.0
4.832 0.000 0.000
0.000 5.594 0.000
0.000 0.000 5.594
Al La Ta Cr
1 2 1 1
Direct
0.000 0.000 0.000
0.000 0.500 0.000
0.000 0.000 0.500
0.500 0.000 0.000
0.500 0.500 0.500
```

Output
Space group ... P4/mmm (123)



(11)
Below is a relaxed Li2AlCr crystal, with properties calculated at the GGA-PBEsol level.

Cell and atoms, written as POSCAR:
```
Li2AlCr
1.0
-1.941 -0.989 1.427
0.532 -1.537 2.034
-0.175 6.700 6.777
Li Cr Al
2 1 1
Direct
0.252 0.252 0.244
0.748 0.748 0.756
0.000 0.000 0.000
0.500 0.500 0.500
```

Output
Space group ... R-3m (166)



(12)
Below is a relaxed LiAl4Cr crystal, with properties calculated at the GGA-PBEsol level.

Cell and atoms, written as POSCAR:
```
LiAl4Cr
1.0
5.169 0.000 0.000
2.584 4.476 0.000
2.584 1.492 4.220
Li Al Cr
1 4 1
Direct
0.000 0.000 0.000
0.625 0.625 0.625
0.625 0.126 0.625
0.126 0.625 0.625
0.625 0.625 0.126
0.250 0.250 0.250
```

Output
Space group ... F-43m (216)



no.,final energy (eV/atom),N(E_F) (states/eV per atom),density (g/cm³)
1,-5.288,1.1166,3.597
2,-5.128,0.7242,3.489
3,-5.656,0.9987,3.409
4,-6.607,1.4653,5.211
5,-3.225,0.5055,2.267
6,-7.960,1.3842,6.985
7,-6.095,1.1605,5.945
8,-5.297,0.8685,4.292
9,-6.820,0.2129,4.577
10,-6.296,1.3926,5.907
11,-4.219,0.6982,2.790
12,-4.596,0.5327,2.837